P) # CdSb2Pd2 GGA-PBE optimized geometry
# Calculated volume (Å³/atom): 21.0
# Size of the total moment (μB per atom): 0.000
data_CdSb2Pd2
_chemical_formula_sum 'Cd2 Sb4 Pd4'
_cell_length_a 7.376
_cell_length_b 7.376
_cell_length_c 3.856
_cell_angle_alpha 90.00
_cell_angle_beta 90.00
_cell_angle_gamma 90.00
_symmetry_space_group_name_H-M 'P 4/m b m'
_symmetry_Int_Tables_number 127
_symmetry_space_group_name_Hall '-P 4 2ab'
loop_
_atom_site_label
_atom_site_type_symbol
_atom_site_fract_x
_atom_site_fract_y
_atom_site_fract_z
Cd1 Cd 0.000 0.000 0.000
Sb1 Sb 0.161 0.339 0.500
Pd1 Pd 0.138 0.638 0.000

=====

Q) # CdSb2Pd2 GGA-PBE optimized geometry
# Calculated volume (Å³/atom): 21.5
# Size of the total moment (μB per atom): 0.000
data_CdSb2Pd2
_chemical_formula_sum 'Cd2 Sb4 Pd4'
_cell_length_a 8.196
_cell_length_b 8.196
_cell_length_c 3.195
_cell_angle_alpha 90.00
_cell_angle_beta 90.00
_cell_angle_gamma 90.00
_symmetry_space_group_name_H-M 'P 4/m b m'
_symmetry_Int_Tables_number 127
_symmetry_space_group_name_Hall '-P 4 2ab'
loop_
_atom_site_label
_atom_site_type_symbol
_atom_site_fract_x
_atom_site_fract_y
_atom_site_fract_z
Cd1 Cd 0.000 0.000 0.000
Sb1 Sb 0.164 0.336 0.000
Pd1 Pd 0.123 0.623 0.500

=====

Verdict on stability: P) comes out on top.

=====

P) # CdSb2Pd2 GGA-PBE optimized geometry
# Calculated volume (Å³/atom): 23.9
# Size of the total moment (μB per atom): 0.000
data_CdSb2Pd2
_chemical_formula_sum 'Cd2 Sb4 Pd4'
_cell_length_a 4.683
_cell_length_b 4.683
_cell_length_c 10.906
_cell_angle_alpha 90.00
_cell_angle_beta 90.00
_cell_angle_gamma 90.00
_symmetry_space_group_name_H-M 'I 4/m m m'
_symmetry_Int_Tables_number 139
_symmetry_space_group_name_Hall '-I 4 2'
loop_
_atom_site_label
_atom_site_type_symbol
_atom_site_fract_x
_atom_site_fract_y
_atom_site_fract_z
Cd1 Cd 0.000 0.000 0.000
Sb1 Sb 0.000 0.500 0.250
Pd1 Pd 0.000 0.000 0.375

=====

Q) # CdSb2Pd2 GGA-PBE optimized geometry
# Calculated volume (Å³/atom): 23.5
# Size of the total moment (μB per atom): 0.000
data_CdSb2Pd2
_chemical_formula_sum 'Cd2 Sb4 Pd4'
_cell_length_a 4.595
_cell_length_b 4.595
_cell_length_c 11.115
_cell_angle_alpha 90.00
_cell_angle_beta 90.00
_cell_angle_gamma 90.00
_symmetry_space_group_name_H-M 'I 4/m m m'
_symmetry_Int_Tables_number 139
_symmetry_space_group_name_Hall '-I 4 2'
loop_
_atom_site_label
_atom_site_type_symbol
_atom_site_fract_x
_atom_site_fract_y
_atom_site_fract_z
Cd1 Cd 0.000 0.000 0.000
Sb1 Sb 0.000 0.000 0.371
Pd1 Pd 0.000 0.500 0.250

=====

Verdict on stability: Q) comes out on top.

=====

P) # CdSbPd6 GGA-PBE optimized geometry
# Calculated volume (Å³/atom): 16.4
# Size of the total moment (μB per atom): 0.000
data_CdSbPd6
_chemical_formula_sum 'Cd1 Sb1 Pd6'
_cell_length_a 5.7367
_cell_length_b 5.7367
_cell_length_c 4.6147
_cell_angle_alpha 90.00
_cell_angle_beta 90.00
_cell_angle_gamma 120.00
_symmetry_space_group_name_H-M 'P -6 m 2'
_symmetry_Int_Tables_number 187
_symmetry_space_group_name_Hall 'P -6 2'
loop_
_atom_site_label
_atom_site_type_symbol
_atom_site_fract_x
_atom_site_fract_y
_atom_site_fract_z
Cd1 Cd 0.0000 0.0000 0.0000
Sb1 Sb 0.6667 0.3333 0.5000
Pd1 Pd 0.0005 0.5002 0.0000
Pd2 Pd 0.1681 0.3362 0.5000

=====

Q) # CdSbPd6 GGA-PBE optimized geometry
# Calculated volume (Å³/atom): 18.7
# Size of the total moment (μB per atom): 0.000
data_CdSbPd6
_chemical_formula_sum 'Cd2 Sb2 Pd12'
_cell_length_a 7.918
_cell_length_b 5.544
_cell_length_c 7.297
_cell_angle_alpha 90.00
_cell_angle_beta 110.76
_cell_angle_gamma 90.00
_symmetry_space_group_name_H-M 'C 1 2/m 1'
_symmetry_Int_Tables_number 12
_symmetry_space_group_name_Hall '-C 2y'
loop_
_atom_site_label
_atom_site_type_symbol
_atom_site_fract_x
_atom_site_fract_y
_atom_site_fract_z
Cd1 Cd 0.000 0.000 0.000
Sb1 Sb 0.000 0.500 0.500
Pd1 Pd 0.148 0.000 0.436
Pd2 Pd 0.189 0.241 0.798

=====

Verdict on stability: P) comes out on top.